(1)
! LiMg14MnO16, PBEsol geometry, DFT SCAN; values from VASP
&SYSTEM
  ibrav = 0, nat = 32, ntyp = 4
/
ATOMIC_SPECIES
O 16.00 O.upf
Mn 54.94 Mn.upf
Mg 24.30 Mg.upf
Li 6.94 Li.upf
CELL_PARAMETERS angstrom
-3.195 -2.241 -1.564
5.328 -6.132 -2.097
-1.168 -3.592 7.534
ATOMIC_POSITIONS angstrom
O 2.368 -3.977 0.862
O -0.879 -2.702 5.667
O 0.734 -3.313 3.248
O 0.482 -5.982 1.936
O -1.153 -5.342 4.358
O 3.425 -6.411 2.188
O 2.117 -6.623 -0.485
O 4.111 -4.731 -1.618
O 1.217 -1.400 -0.479
O 1.066 -4.186 -1.831
O -2.182 -2.917 2.985
O -1.598 -1.121 -0.782
O 1.530 -8.429 3.302
O 1.792 -5.747 4.575
O -0.289 -0.890 1.866
O -0.565 -3.536 0.571
Mn 0.000 0.000 0.000
Mg -0.226 -2.700 -1.322
Mg 2.358 -5.673 -2.339
Mg 1.802 -7.502 1.416
Mg -2.472 -3.809 4.857
Mg 0.482 -4.258 5.116
Mg 2.080 -4.862 2.718
Mg 3.677 -5.466 0.321
Mg 0.183 -6.901 3.863
Mg 0.781 -5.064 0.010
Mg -0.838 -4.463 2.456
Mg 1.066 -2.461 1.349
Mg -0.584 -1.796 3.767
Mg 3.093 -7.262 4.088
Mg -1.891 -2.024 1.112
Li 2.664 -3.066 -1.049
! Crystal system   orthorhombic
! Space-group type   Pmmm, No. 47
! Uncorrected formation energy   -2.910 eV/atom

=====

(2)
! Sb2TeHBr, PBEsol geometry, DFT SCAN; values from VASP
&SYSTEM
  ibrav = 0, nat = 5, ntyp = 4
/
ATOMIC_SPECIES
H 1.01 H.upf
Br 79.90 Br.upf
Sb 121.76 Sb.upf
Te 127.60 Te.upf
CELL_PARAMETERS angstrom
4.307 0.000 0.000
0.000 5.003 0.000
0.000 0.000 5.003
ATOMIC_POSITIONS angstrom
H 0.000 0.000 0.000
Br 2.153 2.502 2.502
Sb 0.000 2.502 0.000
Sb 0.000 0.000 2.502
Te 2.153 0.000 0.000
! Crystal system   tetragonal
! E   -26.4181 eV per atom
! Space-group type   P4/mmm, No. 123
! N(E_F)   3.1 states/eV/cell

=====

(3)
! HfAlS2Cl, PBEsol geometry, DFT SCAN; values from VASP
&SYSTEM
  ibrav = 0, nat = 5, ntyp = 4
/
ATOMIC_SPECIES
S 32.06 S.upf
Al 26.98 Al.upf
Cl 35.45 Cl.upf
Hf 178.49 Hf.upf
CELL_PARAMETERS angstrom
-2.408 3.616 -0.471
-2.796 -1.425 3.352
2.620 2.149 3.098
ATOMIC_POSITIONS angstrom
S -1.398 -0.712 1.676
S 1.310 1.074 1.549
Al 0.000 0.000 0.000
Cl -1.204 1.808 -0.236
Hf -1.292 2.170 2.990
! Crystal system   tetragonal
! Space-group type   P4/mmm, No. 123
! N(E_F)   2.8 states/eV/cell
! Uncorrected formation energy   -0.368 eV/atom

=====

(4)
! YAg2, PBEsol geometry, DFT SCAN; values from VASP
&SYSTEM
  ibrav = 0, nat = 3, ntyp = 2
/
ATOMIC_SPECIES
Ag 107.87 Ag.upf
Y 88.91 Y.upf
CELL_PARAMETERS angstrom
3.669 0.070 0.000
-0.069 3.669 0.000
-1.800 -1.870 4.548
ATOMIC_POSITIONS angstrom
Ag 1.800 1.870 2.992
Ag 0.000 0.000 1.556
Y 1.800 1.870 0.000
! Crystal system   tetragonal
! Space-group type   I4/mmm, No. 139
! ΔH_f (0 K)   -0.381 eV per atom
! N(E_F)   1.0 states/eV/cell

=====

(5)
! Na3TaGa, PBEsol geometry, DFT SCAN; values from VASP
&SYSTEM
  ibrav = 0, nat = 5, ntyp = 3
/
ATOMIC_SPECIES
Na 22.99 Na.upf
Ga 69.72 Ga.upf
Ta 180.95 Ta.upf
CELL_PARAMETERS angstrom
5.802 0.000 0.000
0.000 5.802 0.000
0.000 0.000 5.802
ATOMIC_POSITIONS angstrom
Na 0.000 2.901 0.000
Na 2.901 0.000 0.000
Na 0.000 0.000 2.901
Ga 2.901 2.901 2.901
Ta 0.000 0.000 0.000
! Crystal system   cubic
! Space-group type   Pm-3m, No. 221
! ΔH_f (0 K)   1.618 eV per atom
! N(E_F)   4.9 states/eV/cell

=====

(6)
! BeFe2Co, PBEsol geometry, DFT SCAN; values from VASP
&SYSTEM
  ibrav = 0, nat = 4, ntyp = 3
/
ATOMIC_SPECIES
Be 9.01 Be.upf
Co 58.93 Co.upf
Fe 55.84 Fe.upf
CELL_PARAMETERS angstrom
3.413 0.000 0.000
0.000 3.413 0.000
0.000 0.000 3.463
ATOMIC_POSITIONS angstrom
Be 1.706 1.706 1.731
Co 0.000 0.000 1.731
Fe 1.706 0.000 0.000
Fe 0.000 1.706 0.000
! Crystal system   tetragonal
! Space-group type   P4/mmm, No. 123
! ΔH_f (0 K)   -0.143 eV per atom
! N(E_F)   1.5 states/eV/cell

=====

In the order shown, the computed total moment values come out to 4.0 0.0 1.5 0.0 4.9 6.7 μB per formula unit.